(1)
The following is a PBE-GGA calculation of a geometry-optimized Pm4Dy5Ho structure, from the Alexandria database.

```
10
Lattice="-4.9273 -3.3407 -0.2705 -2.6153 -2.0554 7.3815 -6.6950 4.5517 0.0981" Properties=species:S:1:pos:R:3 pbc="T T T"
Pm -7.5940 0.9106 2.3318
Pm -10.1113 -0.8955 4.8511
Pm -3.6360 0.3836 2.3849
Pm -6.1534 -1.4225 4.9042
Dy -4.7470 -3.3247 2.5797
Dy -4.8602 2.3644 0.0233
Dy -8.9021 -2.8864 7.2119
Dy -9.0153 2.8027 4.6555
Dy -3.3917 -2.2996 -0.1862
Ho -1.0542 -0.7147 -0.0579
```

Values from the calculation:
VASP energy = -44.16 eV per formula unit
Density = 7658 kg/m3
SG = No. 107
Offset from the most stable computed form = 0.57 eV/f.u.



(2)
The following is a PBE-GGA calculation of a geometry-optimized PmDy5Ho3 structure, from the Alexandria database.

```
18
Lattice="-0.6947 4.2908 4.3646 -7.8530 -4.5695 -1.1044 3.3187 -7.3730 7.7767" Properties=species:S:1:pos:R:3 pbc="T T T"
Pm 1.8772 -1.7507 9.6765
Pm 0.7468 -1.3315 2.4647
Dy 2.2077 -3.7922 7.5999
Dy -2.6182 -7.4334 8.8566
Dy -2.5943 0.7223 5.7730
Dy -2.6108 -0.2182 2.1802
Dy -4.7015 -2.1710 3.9352
Dy 0.4163 0.7100 4.5413
Dy -3.9634 -5.6871 2.9947
Dy -1.2656 -1.9645 8.0421
Dy -0.5276 -5.4807 7.1016
Dy -2.6347 -8.3740 5.2638
Ho 0.0000 0.0000 0.0000
Ho -1.5028 -2.7136 4.7728
Ho 1.6593 -3.6865 3.8883
Ho -3.7262 -4.9381 6.2640
Ho -0.1636 -4.4234 10.6718
Ho -5.0655 -3.2283 0.3650
```

Values from the calculation:
VASP energy = -38.61 eV per formula unit
Density = 8099 kg/m3
SG = No. 15
Offset from the most stable computed form = 0.00 eV/f.u.



Q: Which of these has the lowest VASP energy?
A: Pm4Dy5Ho



Q: The highest offset from the most stable computed form belongs to which entry?
A: Pm4Dy5Ho